1.
# HgPS2I meta-GGA SCAN single point on PBEsol structure
# Total energy, eV per atom: -25.7721
data_HgPS2I
_chemical_formula_sum 'Hg1 P1 S2 I1'
_symmetry_space_group_name_H-M 'P 4/m m m'
_symmetry_Int_Tables_number 123
_symmetry_space_group_name_Hall '-P 4 2'
_cell_length_a 4.964
_cell_length_b 4.964
_cell_length_c 5.278
_cell_angle_alpha 90.00
_cell_angle_beta 90.00
_cell_angle_gamma 90.00
loop_
_atom_site_label
_atom_site_type_symbol
_atom_site_fract_x
_atom_site_fract_y
_atom_site_fract_z
Hg1 Hg 0.000 0.000 0.000
P1 P 0.500 0.500 0.000
S1 S 0.000 0.500 0.500
I1 I 0.500 0.500 0.500

2.
# HgTe2PI meta-GGA SCAN single point on PBEsol structure
# Total energy, eV per atom: -36.9605
data_HgTe2PI
_chemical_formula_sum 'Hg1 Te2 P1 I1'
_symmetry_space_group_name_H-M 'P 4/m m m'
_symmetry_Int_Tables_number 123
_symmetry_space_group_name_Hall '-P 4 2'
_cell_length_a 5.557
_cell_length_b 5.557
_cell_length_c 5.563
_cell_angle_alpha 90.00
_cell_angle_beta 90.00
_cell_angle_gamma 90.00
loop_
_atom_site_label
_atom_site_type_symbol
_atom_site_fract_x
_atom_site_fract_y
_atom_site_fract_z
Hg1 Hg 0.000 0.000 0.000
Te1 Te 0.000 0.500 0.000
P1 P 0.500 0.500 0.500
I1 I 0.000 0.000 0.500

3.
# Hg2PbS2I2 meta-GGA SCAN single point on PBEsol structure
# Total energy, eV per atom: -43.9062
data_Hg2PbS2I2
_chemical_formula_sum 'Hg8 Pb4 S8 I8'
_symmetry_space_group_name_H-M 'P 4/m b m'
_symmetry_Int_Tables_number 127
_symmetry_space_group_name_Hall '-P 4 2ab'
_cell_length_a 13.477
_cell_length_b 13.477
_cell_length_c 4.553
_cell_angle_alpha 90.00
_cell_angle_beta 90.00
_cell_angle_gamma 90.00
loop_
_atom_site_label
_atom_site_type_symbol
_atom_site_fract_x
_atom_site_fract_y
_atom_site_fract_z
Hg1 Hg 0.089 0.168 0.000
Pb1 Pb 0.133 0.633 0.500
S1 S 0.073 0.760 0.000
I1 I 0.000 0.000 0.500
I2 I 0.000 0.500 0.000
I3 I 0.194 0.306 0.500

4.
# HgSbPdI2 meta-GGA SCAN single point on PBEsol structure
# Total energy, eV per atom: -41.4461
data_HgSbPdI2
_chemical_formula_sum 'Hg1 Sb1 Pd1 I2'
_symmetry_space_group_name_H-M 'P 4/m m m'
_symmetry_Int_Tables_number 123
_symmetry_space_group_name_Hall '-P 4 2'
_cell_length_a 5.711
_cell_length_b 5.711
_cell_length_c 5.447
_cell_angle_alpha 90.00
_cell_angle_beta 90.00
_cell_angle_gamma 90.00
loop_
_atom_site_label
_atom_site_type_symbol
_atom_site_fract_x
_atom_site_fract_y
_atom_site_fract_z
Hg1 Hg 0.000 0.000 0.000
Sb1 Sb 0.000 0.000 0.500
Pd1 Pd 0.500 0.500 0.500
I1 I 0.000 0.500 0.000

5.
# HgTe2PdI meta-GGA SCAN single point on PBEsol structure
# Total energy, eV per atom: -41.5281
data_HgTe2PdI
_chemical_formula_sum 'Hg1 Te2 Pd1 I1'
_symmetry_space_group_name_H-M 'P 4/m m m'
_symmetry_Int_Tables_number 123
_symmetry_space_group_name_Hall '-P 4 2'
_cell_length_a 5.505
_cell_length_b 5.505
_cell_length_c 5.658
_cell_angle_alpha 90.00
_cell_angle_beta 90.00
_cell_angle_gamma 90.00
loop_
_atom_site_label
_atom_site_type_symbol
_atom_site_fract_x
_atom_site_fract_y
_atom_site_fract_z
Hg1 Hg 0.000 0.000 0.000
Te1 Te 0.000 0.500 0.000
Pd1 Pd 0.500 0.500 0.500
I1 I 0.000 0.000 0.500

6.
# HgTePdI2 meta-GGA SCAN single point on PBEsol structure
# Total energy, eV per atom: -41.5729
data_HgTePdI2
_chemical_formula_sum 'Hg1 Te1 Pd1 I2'
_symmetry_space_group_name_H-M 'P 4/m m m'
_symmetry_Int_Tables_number 123
_symmetry_space_group_name_Hall '-P 4 2'
_cell_length_a 5.692
_cell_length_b 5.692
_cell_length_c 5.537
_cell_angle_alpha 90.00
_cell_angle_beta 90.00
_cell_angle_gamma 90.00
loop_
_atom_site_label
_atom_site_type_symbol
_atom_site_fract_x
_atom_site_fract_y
_atom_site_fract_z
Hg1 Hg 0.000 0.000 0.000
Te1 Te 0.000 0.000 0.500
Pd1 Pd 0.500 0.500 0.500
I1 I 0.000 0.500 0.000

7.
# HgSbPtI2 meta-GGA SCAN single point on PBEsol structure
# Total energy, eV per atom: -49.6714
# Polymorph energy (0 for the lowest one), meV per atom: 0
data_HgSbPtI2
_chemical_formula_sum 'Hg1 Sb1 Pt1 I2'
_symmetry_space_group_name_H-M 'P 4/m m m'
_symmetry_Int_Tables_number 123
_symmetry_space_group_name_Hall '-P 4 2'
_cell_length_a 5.590
_cell_length_b 5.590
_cell_length_c 5.048
_cell_angle_alpha 90.00
_cell_angle_beta 90.00
_cell_angle_gamma 90.00
loop_
_atom_site_label
_atom_site_type_symbol
_atom_site_fract_x
_atom_site_fract_y
_atom_site_fract_z
Hg1 Hg 0.000 0.000 0.000
Sb1 Sb 0.500 0.500 0.000
Pt1 Pt 0.500 0.500 0.500
I1 I 0.000 0.500 0.500

8.
# Rb2HgI2 meta-GGA SCAN single point on PBEsol structure
# Total energy, eV per atom: -37.8872
data_Rb2HgI2
_chemical_formula_sum 'Rb4 Hg2 I4'
_symmetry_space_group_name_H-M 'P 4/m b m'
_symmetry_Int_Tables_number 127
_symmetry_space_group_name_Hall '-P 4 2ab'
_cell_length_a 9.739
_cell_length_b 9.739
_cell_length_c 4.495
_cell_angle_alpha 90.00
_cell_angle_beta 90.00
_cell_angle_gamma 90.00
loop_
_atom_site_label
_atom_site_type_symbol
_atom_site_fract_x
_atom_site_fract_y
_atom_site_fract_z
Rb1 Rb 0.143 0.357 0.000
Hg1 Hg 0.000 0.000 0.000
I1 I 0.157 0.657 0.500

9.
# RbHg2I2 meta-GGA SCAN single point on PBEsol structure
# Total energy, eV per atom: -46.7282
data_RbHg2I2
_chemical_formula_sum 'Rb2 Hg4 I4'
_symmetry_space_group_name_H-M 'I 4/m m m'
_symmetry_Int_Tables_number 139
_symmetry_space_group_name_Hall '-I 4 2'
_cell_length_a 6.072
_cell_length_b 6.072
_cell_length_c 10.071
_cell_angle_alpha 90.00
_cell_angle_beta 90.00
_cell_angle_gamma 90.00
loop_
_atom_site_label
_atom_site_type_symbol
_atom_site_fract_x
_atom_site_fract_y
_atom_site_fract_z
Rb1 Rb 0.000 0.000 0.000
Hg1 Hg 0.000 0.000 0.363
I1 I 0.000 0.500 0.250

10.
# Rb2HgRhI meta-GGA SCAN single point on PBEsol structure
# Total energy, eV per atom: -35.5905
data_Rb2HgRhI
_chemical_formula_sum 'Rb2 Hg1 Rh1 I1'
_symmetry_space_group_name_H-M 'P 4/m m m'
_symmetry_Int_Tables_number 123
_symmetry_space_group_name_Hall '-P 4 2'
_cell_length_a 6.588
_cell_length_b 6.588
_cell_length_c 5.961
_cell_angle_alpha 90.00
_cell_angle_beta 90.00
_cell_angle_gamma 90.00
loop_
_atom_site_label
_atom_site_type_symbol
_atom_site_fract_x
_atom_site_fract_y
_atom_site_fract_z
Rb1 Rb 0.000 0.500 0.000
Hg1 Hg 0.000 0.000 0.000
Rh1 Rh 0.500 0.500 0.500
I1 I 0.000 0.000 0.500

11.
# Rb2ScHgI6 meta-GGA SCAN single point on PBEsol structure
# Total energy, eV per atom: -35.5848
data_Rb2ScHgI6
_chemical_formula_sum 'Rb8 Sc4 Hg4 I24'
_symmetry_space_group_name_H-M 'F m -3 m'
_symmetry_Int_Tables_number 225
_symmetry_space_group_name_Hall '-F 4 2 3'
_cell_length_a 11.889
_cell_length_b 11.889
_cell_length_c 11.889
_cell_angle_alpha 90.00
_cell_angle_beta 90.00
_cell_angle_gamma 90.00
loop_
_atom_site_label
_atom_site_type_symbol
_atom_site_fract_x
_atom_site_fract_y
_atom_site_fract_z
Rb1 Rb 0.250 0.250 0.250
Sc1 Sc 0.000 0.000 0.000
Hg1 Hg 0.000 0.000 0.500
I1 I 0.000 0.000 0.240

12.
# ReHgSbI2 meta-GGA SCAN single point on PBEsol structure
# Total energy, eV per atom: -48.3792
data_ReHgSbI2
_chemical_formula_sum 'Re1 Hg1 Sb1 I2'
_symmetry_space_group_name_H-M 'P 4/m m m'
_symmetry_Int_Tables_number 123
_symmetry_space_group_name_Hall '-P 4 2'
_cell_length_a 5.660
_cell_length_b 5.660
_cell_length_c 5.595
_cell_angle_alpha 90.00
_cell_angle_beta 90.00
_cell_angle_gamma 90.00
loop_
_atom_site_label
_atom_site_type_symbol
_atom_site_fract_x
_atom_site_fract_y
_atom_site_fract_z
Re1 Re 0.000 0.000 0.000
Hg1 Hg 0.500 0.500 0.500
Sb1 Sb 0.500 0.500 0.000
I1 I 0.000 0.500 0.500

13.
# HgRh2I meta-GGA SCAN single point on PBEsol structure
# Total energy, eV per atom: -42.5588
data_HgRh2I
_chemical_formula_sum 'Hg4 Rh8 I4'
_symmetry_space_group_name_H-M 'F m -3 m'
_symmetry_Int_Tables_number 225
_symmetry_space_group_name_Hall '-F 4 2 3'
_cell_length_a 6.541
_cell_length_b 6.541
_cell_length_c 6.541
_cell_angle_alpha 90.00
_cell_angle_beta 90.00
_cell_angle_gamma 90.00
loop_
_atom_site_label
_atom_site_type_symbol
_atom_site_fract_x
_atom_site_fract_y
_atom_site_fract_z
Hg1 Hg 0.000 0.000 0.000
Rh1 Rh 0.250 0.250 0.250
I1 I 0.000 0.000 0.500

14.
# HgTe2RhI meta-GGA SCAN single point on PBEsol structure
# Total energy, eV per atom: -41.4784
data_HgTe2RhI
_chemical_formula_sum 'Hg1 Te2 Rh1 I1'
_symmetry_space_group_name_H-M 'P 4/m m m'
_symmetry_Int_Tables_number 123
_symmetry_space_group_name_Hall '-P 4 2'
_cell_length_a 5.467
_cell_length_b 5.467
_cell_length_c 5.644
_cell_angle_alpha 90.00
_cell_angle_beta 90.00
_cell_angle_gamma 90.00
loop_
_atom_site_label
_atom_site_type_symbol
_atom_site_fract_x
_atom_site_fract_y
_atom_site_fract_z
Hg1 Hg 0.000 0.000 0.000
Te1 Te 0.000 0.500 0.000
Rh1 Rh 0.500 0.500 0.500
I1 I 0.000 0.000 0.500

15.
# SiHgRuI2 meta-GGA SCAN single point on PBEsol structure
# Total energy, eV per atom: -36.5448
data_SiHgRuI2
_chemical_formula_sum 'Si1 Hg1 Ru1 I2'
_symmetry_space_group_name_H-M 'P 4/m m m'
_symmetry_Int_Tables_number 123
_symmetry_space_group_name_Hall '-P 4 2'
_cell_length_a 5.549
_cell_length_b 5.549
_cell_length_c 4.568
_cell_angle_alpha 90.00
_cell_angle_beta 90.00
_cell_angle_gamma 90.00
loop_
_atom_site_label
_atom_site_type_symbol
_atom_site_fract_x
_atom_site_fract_y
_atom_site_fract_z
Si1 Si 0.000 0.000 0.000
Hg1 Hg 0.500 0.500 0.500
Ru1 Ru 0.000 0.000 0.500
I1 I 0.000 0.500 0.000

16.
# HgS2I meta-GGA SCAN single point on PBEsol structure
# Total energy, eV per atom: -30.8707
# Polymorph energy (0 for the lowest one), meV per atom: 0
data_HgS2I
_chemical_formula_sum 'Hg3 S6 I3'
_symmetry_space_group_name_H-M 'R -3 m'
_symmetry_Int_Tables_number 166
_symmetry_space_group_name_Hall '-R 3 2"'
_cell_length_a 3.9550
_cell_length_b 3.9550
_cell_length_c 23.5501
_cell_angle_alpha 90.00
_cell_angle_beta 90.00
_cell_angle_gamma 120.00
loop_
_atom_site_label
_atom_site_type_symbol
_atom_site_fract_x
_atom_site_fract_y
_atom_site_fract_z
Hg1 Hg 0.0000 0.0000 0.0000
S1 S 0.0000 0.0000 0.3914
I1 I 0.0000 0.0000 0.5000

17.
# HgS2I meta-GGA SCAN single point on PBEsol structure
# Total energy, eV per atom: -30.5904
# Polymorph energy (0 for the lowest one), meV per atom: 280
data_HgS2I
_chemical_formula_sum 'Hg3 S6 I3'
_symmetry_space_group_name_H-M 'R -3 m'
_symmetry_Int_Tables_number 166
_symmetry_space_group_name_Hall '-R 3 2"'
_cell_length_a 5.3276
_cell_length_b 5.3276
_cell_length_c 13.4613
_cell_angle_alpha 90.00
_cell_angle_beta 90.00
_cell_angle_gamma 120.00
loop_
_atom_site_label
_atom_site_type_symbol
_atom_site_fract_x
_atom_site_fract_y
_atom_site_fract_z
Hg1 Hg 0.0000 0.0000 0.0000
S1 S 0.0000 0.0000 0.1719
I1 I 0.0000 0.0000 0.5000

18.
# HgS3I meta-GGA SCAN single point on PBEsol structure
# Total energy, eV per atom: -25.7900
data_HgS3I
_chemical_formula_sum 'Hg1 S3 I1'
_symmetry_space_group_name_H-M 'P m -3 m'
_symmetry_Int_Tables_number 221
_symmetry_space_group_name_Hall '-P 4 2 3'
_cell_length_a 4.923
_cell_length_b 4.923
_cell_length_c 4.923
_cell_angle_alpha 90.00
_cell_angle_beta 90.00
_cell_angle_gamma 90.00
loop_
_atom_site_label
_atom_site_type_symbol
_atom_site_fract_x
_atom_site_fract_y
_atom_site_fract_z
Hg1 Hg 0.000 0.000 0.000
S1 S 0.000 0.000 0.500
I1 I 0.500 0.500 0.500

19.
# HgSb2SI meta-GGA SCAN single point on PBEsol structure
# Total energy, eV per atom: -37.2144
data_HgSb2SI
_chemical_formula_sum 'Hg1 Sb2 S1 I1'
_symmetry_space_group_name_H-M 'P 4/m m m'
_symmetry_Int_Tables_number 123
_symmetry_space_group_name_Hall '-P 4 2'
_cell_length_a 5.178
_cell_length_b 5.178
_cell_length_c 5.647
_cell_angle_alpha 90.00
_cell_angle_beta 90.00
_cell_angle_gamma 90.00
loop_
_atom_site_label
_atom_site_type_symbol
_atom_site_fract_x
_atom_site_fract_y
_atom_site_fract_z
Hg1 Hg 0.000 0.000 0.000
Sb1 Sb 0.000 0.500 0.500
S1 S 0.500 0.500 0.500
I1 I 0.500 0.500 0.000

20.
# Hg4Sb2I3 meta-GGA SCAN single point on PBEsol structure
# Total energy, eV per atom: -51.0326
data_Hg4Sb2I3
_chemical_formula_sum 'Hg32 Sb16 I24'
_symmetry_space_group_name_H-M 'P a -3'
_symmetry_Int_Tables_number 205
_symmetry_space_group_name_Hall '-P 2ac 2ab 3'
_cell_length_a 13.468
_cell_length_b 13.468
_cell_length_c 13.468
_cell_angle_alpha 90.00
_cell_angle_beta 90.00
_cell_angle_gamma 90.00
loop_
_atom_site_label
_atom_site_type_symbol
_atom_site_fract_x
_atom_site_fract_y
_atom_site_fract_z
Hg1 Hg 0.008 0.249 0.523
Hg2 Hg 0.220 0.720 0.780
Sb1 Sb 0.060 0.060 0.060
Sb2 Sb 0.103 0.603 0.897
I1 I 0.064 0.243 0.309

21.
# Hg2Sb2I meta-GGA SCAN single point on PBEsol structure
# Total energy, eV per atom: -49.3716
data_Hg2Sb2I
_chemical_formula_sum 'Hg4 Sb4 I2'
_symmetry_space_group_name_H-M 'I 4/m m m'
_symmetry_Int_Tables_number 139
_symmetry_space_group_name_Hall '-I 4 2'
_cell_length_a 4.293
_cell_length_b 4.293
_cell_length_c 15.492
_cell_angle_alpha 90.00
_cell_angle_beta 90.00
_cell_angle_gamma 90.00
loop_
_atom_site_label
_atom_site_type_symbol
_atom_site_fract_x
_atom_site_fract_y
_atom_site_fract_z
Hg1 Hg 0.000 0.000 0.095
Sb1 Sb 0.000 0.500 0.250
I1 I 0.000 0.000 0.500

22.
# SiHgSb2I meta-GGA SCAN single point on PBEsol structure
# Total energy, eV per atom: -37.2860
data_SiHgSb2I
_chemical_formula_sum 'Si1 Hg1 Sb2 I1'
_symmetry_space_group_name_H-M 'P 4/m m m'
_symmetry_Int_Tables_number 123
_symmetry_space_group_name_Hall '-P 4 2'
_cell_length_a 5.216
_cell_length_b 5.216
_cell_length_c 5.451
_cell_angle_alpha 90.00
_cell_angle_beta 90.00
_cell_angle_gamma 90.00
loop_
_atom_site_label
_atom_site_type_symbol
_atom_site_fract_x
_atom_site_fract_y
_atom_site_fract_z
Si1 Si 0.000 0.000 0.000
Hg1 Hg 0.500 0.500 0.500
Sb1 Sb 0.000 0.500 0.000
I1 I 0.000 0.000 0.500

23.
# SrHgSbI2 meta-GGA SCAN single point on PBEsol structure
# Total energy, eV per atom: -40.5483
# Polymorph energy (0 for the lowest one), meV per atom: 26
data_SrHgSbI2
_chemical_formula_sum 'Sr1 Hg1 Sb1 I2'
_symmetry_space_group_name_H-M 'P 4/m m m'
_symmetry_Int_Tables_number 123
_symmetry_space_group_name_Hall '-P 4 2'
_cell_length_a 5.794
_cell_length_b 5.794
_cell_length_c 5.590
_cell_angle_alpha 90.00
_cell_angle_beta 90.00
_cell_angle_gamma 90.00
loop_
_atom_site_label
_atom_site_type_symbol
_atom_site_fract_x
_atom_site_fract_y
_atom_site_fract_z
Sr1 Sr 0.000 0.000 0.000
Hg1 Hg 0.500 0.500 0.500
Sb1 Sb 0.500 0.500 0.000
I1 I 0.000 0.500 0.500

Number 1: raw formation energy 1140 meV per atom. Number 2: raw formation energy 1001 meV per atom. Number 3: raw formation energy -356 meV per atom. Number 4: raw formation energy 891 meV per atom. Number 5: raw formation energy 909 meV per atom. Number 6: raw formation energy 762 meV per atom. Number 7: raw formation energy 149 meV per atom. Number 8: raw formation energy -1262 meV per atom. Number 9: raw formation energy -617 meV per atom. Number 10: raw formation energy 441 meV per atom. Number 11: raw formation energy -1152 meV per atom. Number 12: raw formation energy 1622 meV per atom. Number 13: raw formation energy 554 meV per atom. Number 14: raw formation energy 1158 meV per atom. Number 15: raw formation energy 753 meV per atom. Number 16: raw formation energy 170 meV per atom. Number 17: raw formation energy 450 meV per atom. Number 18: raw formation energy 968 meV per atom. Number 19: raw formation energy 597 meV per atom. Number 20: raw formation energy -209 meV per atom. Number 21: raw formation energy 147 meV per atom. Number 22: raw formation energy 603 meV per atom. Number 23: raw formation energy -311 meV per atom.